CuTeHN2 after structural relaxation, computed with PBE.

abc: 3.6313 3.6313 6.1758
angles: 90.00 90.00 90.00
With the nearest neighbours (Å) after each atom.
Atoms (fractional coordinates):
Cu: 0.0000 0.0000 0.0000  4 N 1.82
Te: 0.0000 0.0000 0.5000  4 H 2.57
H: 0.5000 0.5000 0.5000  4 Te 2.57
N: 0.0000 0.5000 0.0000  2 Cu 1.82
N: 0.5000 0.0000 0.0000  2 Cu 1.82

Calculated values
Final energy in eV per cell: -18.430
M_tot in Bohr magnetons per cell: 3.46
Energy relative to the lowest polymorph listed for this composition in eV/atom: 0.000

=====

CuTeHN2 after structural relaxation, computed with PBE.

abc: 3.9445 3.9445 3.5674
angles: 90.00 90.00 90.00
With the nearest neighbours (Å) after each atom.
Atoms (fractional coordinates):
Cu: 0.0000 0.0000 0.0000  8 N 2.66, 4 Te 2.79
Te: 0.5000 0.5000 0.0000  2 H 1.78
H: 0.5000 0.5000 0.5000  2 Te 1.78, 4 N 1.97
N: 0.0000 0.5000 0.5000  2 H 1.97
N: 0.5000 0.0000 0.5000  2 H 1.97

Calculated values
Final energy in eV per cell: -17.417
M_tot in Bohr magnetons per cell: 0.54
Energy relative to the lowest polymorph listed for this composition in eV/atom: 0.203

=====

CuTe2HN after structural relaxation, computed with PBE.

abc: 5.1394 5.1394 2.8848
angles: 90.00 90.00 90.00
With the nearest neighbours (Å) after each atom.
Atoms (fractional coordinates):
Cu: 0.0000 0.0000 0.0000  2 Cu 2.88, 8 Te 2.95
Te: 0.0000 0.5000 0.5000  2 H 2.57
Te: 0.5000 0.0000 0.5000  2 H 2.57
H: 0.5000 0.5000 0.5000  2 N 1.44
N: 0.5000 0.5000 0.0000  2 H 1.44

Calculated values
Final energy in eV per cell: -17.200
M_tot in Bohr magnetons per cell: 0.00
Energy relative to the lowest polymorph listed for this composition in eV/atom: 0.000

=====

CuTe2HN after structural relaxation, computed with PBE.

abc: 5.3785 5.3785 3.4688
angles: 90.00 90.00 90.00
With the nearest neighbours (Å) after each atom.
Atoms (fractional coordinates):
Cu: 0.0000 0.0000 0.0000  2 N 1.73
Te: 0.0000 0.5000 0.0000  2 Cu 2.69
Te: 0.5000 0.0000 0.0000  2 Cu 2.69
H: 0.5000 0.5000 0.5000  8 Te 3.20, 2 H 3.47
N: 0.0000 0.0000 0.5000  2 Cu 1.73

Calculated values
Final energy in eV per cell: -16.157
M_tot in Bohr magnetons per cell: 0.28
Energy relative to the lowest polymorph listed for this composition in eV/atom: 0.209

=====

Tl2CuHN after structural relaxation, computed with PBE.

abc: 5.1867 5.1867 3.2597
angles: 90.00 90.00 90.00
With the nearest neighbours (Å) after each atom.
Atoms (fractional coordinates):
Tl: 0.0000 0.5000 0.0000  2 Cu 2.59
Tl: 0.5000 0.0000 0.0000  2 Cu 2.59
Cu: 0.0000 0.0000 0.0000  2 H 1.63
H: 0.0000 0.0000 0.5000  2 Cu 1.63
N: 0.5000 0.5000 0.5000  8 Tl 3.06, 2 N 3.26

Calculated values
Final energy in eV per cell: -15.445
M_tot in Bohr magnetons per cell: 0.00

=====

YCuH2N after structural relaxation, computed with PBE.

abc: 3.8030 3.8030 4.5341
angles: 90.00 90.00 90.00
With the nearest neighbours (Å) after each atom.
Atoms (fractional coordinates):
Y: 0.0000 0.0000 0.0000  2 N 2.27
Cu: 0.5000 0.5000 0.0000  4 Y 2.69, 8 H 2.96
H: 0.0000 0.5000 0.5000  2 N 1.90
H: 0.5000 0.0000 0.5000  2 N 1.90
N: 0.0000 0.0000 0.5000  4 H 1.90

Calculated values
Final energy in eV per cell: -21.855
M_tot in Bohr magnetons per cell: 0.00